Density functional theory data (PBE) for a relaxed structure of PIrSeN2.

a = 3.3715 Å, b = 3.3715 Å, c = 8.5263 Å
α = 90.00°, β = 90.00°, γ = 90.00°
Closest atoms and distances in Å follow each position.
Space group P4/mmm (No. 123)
Unique sites:
P: 0.0000 0.0000 0.0000 (multiplicity 1)  4 N 1.69
Ir: 0.5000 0.5000 0.5000 (multiplicity 1)  4 Se 2.38
Se: 0.0000 0.0000 0.5000 (multiplicity 1)  4 Ir 2.38
N: 0.0000 0.5000 0.0000 (multiplicity 2)  2 P 1.69

Values from the calculation:
Excess energy over the best structure of this formula in the dataset: 68 meV per atom
Uncorrected energy: -5.81 eV/atom
ΔE_f (raw): 1.07 eV per atom